1.
! PBE LiIr2Br, relaxed; values from VASP
! space group = No. 123
! V = 23.10 A^3/atom
! total moment = 0.000 μB/f.u.
! distance to the lowest polymorph of the same formula = 250 meV/atom
! D(E_F) = 4.920 states/eV per cell
&SYSTEM
  ibrav = 0, nat = 4, ntyp = 3
/
ATOMIC_SPECIES
Ir 192.22 Ir.upf
Li 6.94 Li.upf
Br 79.90 Br.upf
CELL_PARAMETERS angstrom
7.500 0.000 0.000
0.000 3.510 0.000
0.000 0.000 3.510
ATOMIC_POSITIONS crystal
Ir 0.000 0.500 0.500
Li 0.500 0.500 0.000
Br 0.500 0.000 0.500
Ir 0.000 0.000 0.000



2.
! PBE ZrAl2Te, relaxed; values from VASP
! space group = No. 12
! raw total energy = -4.898 eV per atom
! V = 21.54 A^3/atom
! total moment = 0.000 μB/f.u.
! D(E_F) = 2.519 states/eV per cell
&SYSTEM
  ibrav = 0, nat = 4, ntyp = 3
/
ATOMIC_SPECIES
Al 26.98 Al.upf
Zr 91.22 Zr.upf
Te 127.60 Te.upf
CELL_PARAMETERS angstrom
-0.086 -3.950 4.411
-0.751 -1.774 -5.600
2.520 -2.318 -0.671
ATOMIC_POSITIONS crystal
Al 0.000 0.000 0.000
Zr 0.000 0.500 0.500
Al 0.500 0.500 0.000
Te 0.500 0.000 0.500